Record 1
# PBE-GGA Pm2Zn3Ag2, optimized geometry
data_Pm2Zn3Ag2
_symmetry_space_group_name_H-M 'C 1 2/m 1'
_symmetry_Int_Tables_number 12
_cell_length_a 10.222
_cell_length_b 4.642
_cell_length_c 6.742
_cell_angle_alpha 90.00
_cell_angle_beta 112.27
_cell_angle_gamma 90.00
loop_
_symmetry_equiv_pos_as_xyz
'x,y,z'
'-x,-y,-z'
'-x,y,-z'
'x,-y,z'
'x+1/2,y+1/2,z'
'-x+1/2,-y+1/2,-z'
'-x+1/2,y+1/2,-z'
'x+1/2,-y+1/2,z'
loop_
_atom_site_label
_atom_site_fract_x
_atom_site_fract_y
_atom_site_fract_z
_atom_site_occupancy
Pm1 0.153 0.000 0.261 1
Zn1 0.000 0.500 0.500 1
Zn2 0.096 0.500 0.919 1
Ag1 0.143 0.000 0.730 1
# Spin magnetization   0.0 μB/f.u.
# DFT total energy   -3.014 eV per atom
# Volume   296.1 Å³ per cell
# DFT formation energy   -0.30 eV/atom


Record 2
# PBE-GGA PmZn4Ag12, optimized geometry
data_PmZn4Ag12
_symmetry_space_group_name_H-M 'I m -3'
_symmetry_Int_Tables_number 204
_symmetry_space_group_name_Hall '-I 2 2 3'
_cell_length_a 8.946
_cell_length_b 8.946
_cell_length_c 8.946
_cell_angle_alpha 90.00
_cell_angle_beta 90.00
_cell_angle_gamma 90.00
loop_
_atom_site_label
_atom_site_fract_x
_atom_site_fract_y
_atom_site_fract_z
_atom_site_occupancy
Pm1 0.000 0.000 0.000 1
Zn1 0.250 0.250 0.250 1
Ag1 0.000 0.345 0.156 1
# Spin magnetization   0.0 μB/f.u.
# DFT total energy   -2.358 eV per atom
# Volume   716.0 Å³ per cell
# DFT formation energy   0.23 eV/atom


Record 3
# PBE-GGA PmZn5Ag7, optimized geometry
data_PmZn5Ag7
_symmetry_space_group_name_H-M 'C 1 m 1'
_symmetry_Int_Tables_number 8
_cell_length_a 10.712
_cell_length_b 9.340
_cell_length_c 5.257
_cell_angle_alpha 90.00
_cell_angle_beta 118.59
_cell_angle_gamma 90.00
loop_
_symmetry_equiv_pos_as_xyz
'x,y,z'
'x,-y,z'
'x+1/2,y+1/2,z'
'x+1/2,-y+1/2,z'
loop_
_atom_site_label
_atom_site_fract_x
_atom_site_fract_y
_atom_site_fract_z
_atom_site_occupancy
Pm1 0.000 0.000 0.000 1
Zn1 0.245 0.252 0.495 1
Zn2 0.246 0.252 0.996 1
Zn3 0.277 0.500 0.279 1
Ag1 0.156 0.500 0.659 1
Ag2 0.218 0.000 0.716 1
Ag3 0.350 0.000 0.346 1
Ag4 0.494 0.291 0.495 1
Ag5 0.498 0.152 0.999 1
# Spin magnetization   0.0 μB/f.u.
# DFT total energy   -2.542 eV per atom
# Volume   461.8 Å³ per cell
# DFT formation energy   -0.15 eV/atom


Record 4
# PBE-GGA PmZnAg2, optimized geometry
data_PmZnAg2
_symmetry_space_group_name_H-M 'P n m a'
_symmetry_Int_Tables_number 62
_cell_length_a 7.965
_cell_length_b 7.548
_cell_length_c 5.613
_cell_angle_alpha 90.00
_cell_angle_beta 90.00
_cell_angle_gamma 90.00
loop_
_symmetry_equiv_pos_as_xyz
'x,y,z'
'-x,-y,-z'
'-x+1/2,-y,z+1/2'
'x+1/2,y,-z+1/2'
'x+1/2,-y+1/2,-z+1/2'
'-x+1/2,y+1/2,z+1/2'
'-x,y+1/2,-z'
'x,-y+1/2,z'
loop_
_atom_site_label
_atom_site_fract_x
_atom_site_fract_y
_atom_site_fract_z
_atom_site_occupancy
Pm1 0.045 0.250 0.135 1
Zn1 0.113 0.750 0.369 1
Ag1 0.181 0.056 0.600 1
# Spin magnetization   0.0 μB/f.u.
# DFT total energy   -3.195 eV per atom
# Volume   337.5 Å³ per cell
# Offset from the most stable computed form   0.0 meV/atom
# DFT formation energy   -0.26 eV/atom


Record 5
# PBE-GGA Pm11Zn9Ag4, optimized geometry
data_Pm11Zn9Ag4
_symmetry_space_group_name_H-M 'C m m m'
_symmetry_Int_Tables_number 65
_symmetry_space_group_name_Hall '-C 2 2'
_cell_length_a 14.729
_cell_length_b 21.522
_cell_length_c 3.719
_cell_angle_alpha 90.00
_cell_angle_beta 90.00
_cell_angle_gamma 90.00
loop_
_atom_site_label
_atom_site_fract_x
_atom_site_fract_y
_atom_site_fract_z
_atom_site_occupancy
Pm1 0.000 0.000 0.000 1
Pm2 0.000 0.173 0.000 1
Pm3 0.000 0.349 0.000 1
Pm4 0.240 0.172 0.000 1
Pm5 0.244 0.000 0.000 1
Zn1 0.000 0.500 0.500 1
Zn2 0.116 0.259 0.500 1
Zn3 0.121 0.084 0.500 1
Ag1 0.141 0.414 0.500 1
# Spin magnetization   0.0 μB/f.u.
# DFT total energy   -3.399 eV per atom
# Volume   1178.9 Å³ per cell
# DFT formation energy   -0.27 eV/atom


Record 6
# PBE-GGA Pm6ZnAg5, optimized geometry
data_Pm6ZnAg5
_symmetry_space_group_name_H-M 'P 1 2/m 1'
_symmetry_Int_Tables_number 10
_cell_length_a 5.286
_cell_length_b 7.369
_cell_length_c 8.359
_cell_angle_alpha 90.00
_cell_angle_beta 108.54
_cell_angle_gamma 90.00
loop_
_symmetry_equiv_pos_as_xyz
'x,y,z'
'-x,-y,-z'
'-x,y,-z'
'x,-y,z'
loop_
_atom_site_label
_atom_site_fract_x
_atom_site_fract_y
_atom_site_fract_z
_atom_site_occupancy
Pm1 0.000 0.249 0.000 1
Pm2 0.335 0.249 0.668 1
Zn1 0.500 0.000 0.000 1
Ag1 0.163 0.000 0.328 1
Ag2 0.167 0.500 0.335 1
Ag3 0.500 0.500 0.000 1
# Spin magnetization   0.0 μB/f.u.
# DFT total energy   -3.947 eV per atom
# Volume   308.7 Å³ per cell
# DFT formation energy   -0.28 eV/atom


Record 7
# PBE-GGA PmZn3Ag, optimized geometry
data_PmZn3Ag
_symmetry_space_group_name_H-M 'P 1 21/c 1'
_symmetry_Int_Tables_number 14
_cell_length_a 7.223
_cell_length_b 6.412
_cell_length_c 8.572
_cell_angle_alpha 90.00
_cell_angle_beta 100.76
_cell_angle_gamma 90.00
loop_
_symmetry_equiv_pos_as_xyz
'x,y,z'
'-x,-y,-z'
'-x,y+1/2,-z+1/2'
'x,-y+1/2,z+1/2'
loop_
_atom_site_label
_atom_site_fract_x
_atom_site_fract_y
_atom_site_fract_z
_atom_site_occupancy
Pm1 0.241 0.003 0.253 1
Zn1 0.017 0.702 0.996 1
Zn2 0.180 0.026 0.880 1
Zn3 0.310 0.027 0.634 1
Ag1 0.481 0.715 0.511 1
# Spin magnetization   0.0 μB/f.u.
# DFT total energy   -2.526 eV per atom
# Volume   390.0 Å³ per cell
# DFT formation energy   -0.24 eV/atom


Record 8
# PBE-GGA Pm2Zn3Ag4, optimized geometry
data_Pm2Zn3Ag4
_symmetry_space_group_name_H-M 'C m c e'
_symmetry_Int_Tables_number 64
_symmetry_space_group_name_Hall '-C 2ac 2'
_cell_length_a 5.809
_cell_length_b 15.680
_cell_length_c 8.124
_cell_angle_alpha 90.00
_cell_angle_beta 90.00
_cell_angle_gamma 90.00
loop_
_atom_site_label
_atom_site_fract_x
_atom_site_fract_y
_atom_site_fract_z
_atom_site_occupancy
Pm1 0.000 0.114 0.088 1
Zn1 0.000 0.000 0.500 1
Zn2 0.250 0.228 0.750 1
Ag1 0.000 0.181 0.481 1
Ag2 0.250 0.057 0.750 1
# Spin magnetization   0.0 μB/f.u.
# DFT total energy   -2.968 eV per atom
# Volume   739.9 Å³ per cell
# Offset from the most stable computed form   82.2 meV/atom
# DFT formation energy   -0.22 eV/atom


Record 9
# PBE-GGA PmZnAg4, optimized geometry
data_PmZnAg4
_symmetry_space_group_name_H-M 'P m m a'
_symmetry_Int_Tables_number 51
_cell_length_a 8.192
_cell_length_b 4.014
_cell_length_c 7.421
_cell_angle_alpha 90.00
_cell_angle_beta 90.00
_cell_angle_gamma 90.00
loop_
_symmetry_equiv_pos_as_xyz
'x,y,z'
'-x,-y,-z'
'-x+1/2,-y,z'
'x+1/2,y,-z'
'x+1/2,-y,-z'
'-x+1/2,y,z'
'-x,y,-z'
'x,-y,z'
loop_
_atom_site_label
_atom_site_fract_x
_atom_site_fract_y
_atom_site_fract_z
_atom_site_occupancy
Pm1 0.250 0.000 0.106 1
Zn1 0.250 0.000 0.708 1
Ag1 0.000 0.000 0.500 1
Ag2 0.052 0.500 0.813 1
Ag3 0.250 0.500 0.441 1
# Spin magnetization   0.0 μB/f.u.
# DFT total energy   -3.036 eV per atom
# Volume   244.0 Å³ per cell
# Offset from the most stable computed form   0.0 meV/atom
# DFT formation energy   -0.13 eV/atom


Record 10
# PBE-GGA Pm2Zn3Ag6, optimized geometry
data_Pm2Zn3Ag6
_symmetry_space_group_name_H-M 'P -6 2 m'
_symmetry_Int_Tables_number 189
_symmetry_space_group_name_Hall 'P -6 -2'
_cell_length_a 7.7805
_cell_length_b 7.7805
_cell_length_c 4.3870
_cell_angle_alpha 90.00
_cell_angle_beta 90.00
_cell_angle_gamma 120.00
loop_
_atom_site_label
_atom_site_fract_x
_atom_site_fract_y
_atom_site_fract_z
_atom_site_occupancy
Pm1 0.3333 0.6667 0.0000 1
Zn1 0.0000 0.6041 0.5000 1
Ag1 0.0000 0.2729 0.5000 1
Ag2 0.0000 0.7896 0.0000 1
# Spin magnetization   0.0 μB/f.u.
# DFT total energy   -2.929 eV per atom
# Volume   230.0 Å³ per cell
# DFT formation energy   -0.16 eV/atom


Record 11
# PBE-GGA PmZn3Ag2, optimized geometry
data_PmZn3Ag2
_symmetry_space_group_name_H-M 'C m c m'
_symmetry_Int_Tables_number 63
_symmetry_space_group_name_Hall '-C 2c 2'
_cell_length_a 9.892
_cell_length_b 8.353
_cell_length_c 5.672
_cell_angle_alpha 90.00
_cell_angle_beta 90.00
_cell_angle_gamma 90.00
loop_
_atom_site_label
_atom_site_fract_x
_atom_site_fract_y
_atom_site_fract_z
_atom_site_occupancy
Pm1 0.000 0.157 0.250 1
Zn1 0.000 0.466 0.750 1
Zn2 0.149 0.218 0.750 1
Ag1 0.226 0.500 0.000 1
# Spin magnetization   0.0 μB/f.u.
# DFT total energy   -2.558 eV per atom
# Volume   468.7 Å³ per cell
# Offset from the most stable computed form   36.2 meV/atom
# DFT formation energy   -0.18 eV/atom


Record 12
# PBE-GGA Pm2Zn5Ag12, optimized geometry
data_Pm2Zn5Ag12
_symmetry_space_group_name_H-M 'R -3 m'
_symmetry_Int_Tables_number 166
_symmetry_space_group_name_Hall '-R 3 2"'
_cell_length_a 9.4429
_cell_length_b 9.4429
_cell_length_c 14.0424
_cell_angle_alpha 90.00
_cell_angle_beta 90.00
_cell_angle_gamma 120.00
loop_
_atom_site_label
_atom_site_fract_x
_atom_site_fract_y
_atom_site_fract_z
_atom_site_occupancy
Pm1 0.0000 0.0000 0.1524 1
Zn1 0.0000 0.0000 0.4016 1
Zn2 0.0000 0.5000 0.0000 1
Ag1 0.0000 0.3027 0.5000 1
Ag2 0.0086 0.5043 0.3475 1
# Spin magnetization   0.0 μB/f.u.
# DFT total energy   -2.751 eV per atom
# Volume   1084.4 Å³ per cell
# DFT formation energy   -0.11 eV/atom


Record 13
# PBE-GGA PmZn2Ag6, optimized geometry
data_PmZn2Ag6
_symmetry_space_group_name_H-M 'P -3 1 m'
_symmetry_Int_Tables_number 162
_symmetry_space_group_name_Hall '-P 3 2'
_cell_length_a 4.9250
_cell_length_b 4.9250
_cell_length_c 9.6097
_cell_angle_alpha 90.00
_cell_angle_beta 90.00
_cell_angle_gamma 120.00
loop_
_atom_site_label
_atom_site_fract_x
_atom_site_fract_y
_atom_site_fract_z
_atom_site_occupancy
Pm1 0.0000 0.0000 0.0000 1
Zn1 0.3333 0.6667 0.5000 1
Ag1 0.0000 0.3391 0.7336 1
# Spin magnetization   0.0 μB/f.u.
# DFT total energy   -2.595 eV per atom
# Volume   201.9 Å³ per cell
# Offset from the most stable computed form   237.8 meV/atom
# DFT formation energy   0.12 eV/atom


Record 14
# PBE-GGA Pm3Zn9Ag2, optimized geometry
data_Pm3Zn9Ag2
_symmetry_space_group_name_H-M 'I m m m'
_symmetry_Int_Tables_number 71
_symmetry_space_group_name_Hall '-I 2 2'
_cell_length_a 4.485
_cell_length_b 8.873
_cell_length_c 13.492
_cell_angle_alpha 90.00
_cell_angle_beta 90.00
_cell_angle_gamma 90.00
loop_
_atom_site_label
_atom_site_fract_x
_atom_site_fract_y
_atom_site_fract_z
_atom_site_occupancy
Pm1 0.000 0.000 0.000 1
Pm2 0.000 0.000 0.296 1
Zn1 0.000 0.282 0.137 1
Zn2 0.000 0.359 0.336 1
Zn3 0.000 0.500 0.000 1
Ag1 0.000 0.189 0.500 1
# Spin magnetization   0.0 μB/f.u.
# DFT total energy   -2.561 eV per atom
# Volume   537.0 Å³ per cell
# DFT formation energy   -0.32 eV/atom


Record 15
# PBE-GGA Pm6Zn3Ag, optimized geometry
data_Pm6Zn3Ag
_symmetry_space_group_name_H-M 'P 1 21/m 1'
_symmetry_Int_Tables_number 11
_cell_length_a 9.235
_cell_length_b 5.216
_cell_length_c 11.608
_cell_angle_alpha 90.00
_cell_angle_beta 108.26
_cell_angle_gamma 90.00
loop_
_symmetry_equiv_pos_as_xyz
'x,y,z'
'-x,-y,-z'
'-x,y+1/2,-z'
'x,-y+1/2,z'
loop_
_atom_site_label
_atom_site_fract_x
_atom_site_fract_y
_atom_site_fract_z
_atom_site_occupancy
Pm1 0.030 0.250 0.405 1
Pm2 0.152 0.750 0.179 1
Pm3 0.234 0.250 0.996 1
Pm4 0.341 0.750 0.812 1
Pm5 0.372 0.250 0.349 1
Pm6 0.393 0.250 0.628 1
Zn1 0.031 0.750 0.879 1
Zn2 0.115 0.250 0.716 1
Zn3 0.271 0.750 0.476 1
Ag1 0.448 0.750 0.096 1
# Spin magnetization   0.0 μB/f.u.
# DFT total energy   -3.707 eV per atom
# Volume   530.9 Å³ per cell
# DFT formation energy   -0.19 eV/atom


Record 16
# PBE-GGA Pm2Zn6Ag3, optimized geometry
data_Pm2Zn6Ag3
_symmetry_space_group_name_H-M 'C m m m'
_symmetry_Int_Tables_number 65
_symmetry_space_group_name_Hall '-C 2 2'
_cell_length_a 9.898
_cell_length_b 11.413
_cell_length_c 4.019
_cell_angle_alpha 90.00
_cell_angle_beta 90.00
_cell_angle_gamma 90.00
loop_
_atom_site_label
_atom_site_fract_x
_atom_site_fract_y
_atom_site_fract_z
_atom_site_occupancy
Pm1 0.000 0.209 0.000 1
Zn1 0.119 0.000 0.500 1
Zn2 0.197 0.343 0.500 1
Ag1 0.000 0.500 0.500 1
Ag2 0.207 0.500 0.000 1
# Spin magnetization   0.0 μB/f.u.
# DFT total energy   -2.473 eV per atom
# Volume   454.0 Å³ per cell
# DFT formation energy   -0.14 eV/atom


Record 17
# PBE-GGA PmZn3Ag, optimized geometry
data_PmZn3Ag
_symmetry_space_group_name_H-M 'P 1 21/m 1'
_symmetry_Int_Tables_number 11
_cell_length_a 5.468
_cell_length_b 5.586
_cell_length_c 6.282
_cell_angle_alpha 90.00
_cell_angle_beta 91.41
_cell_angle_gamma 90.00
loop_
_symmetry_equiv_pos_as_xyz
'x,y,z'
'-x,-y,-z'
'-x,y+1/2,-z'
'x,-y+1/2,z'
loop_
_atom_site_label
_atom_site_fract_x
_atom_site_fract_y
_atom_site_fract_z
_atom_site_occupancy
Pm1 0.159 0.250 0.163 1
Zn1 0.349 0.013 0.678 1
Zn2 0.357 0.750 0.039 1
Ag1 0.086 0.750 0.386 1
# Spin magnetization   0.0 μB/f.u.
# DFT total energy   -2.525 eV per atom
# Volume   191.8 Å³ per cell
# DFT formation energy   -0.24 eV/atom


Record 18
# PBE-GGA PmZrAg4, optimized geometry
data_PmZrAg4
_symmetry_space_group_name_H-M 'F -4 3 m'
_symmetry_Int_Tables_number 216
_symmetry_space_group_name_Hall 'F -4 2 3'
_cell_length_a 7.994
_cell_length_b 7.994
_cell_length_c 7.994
_cell_angle_alpha 90.00
_cell_angle_beta 90.00
_cell_angle_gamma 90.00
loop_
_atom_site_label
_atom_site_fract_x
_atom_site_fract_y
_atom_site_fract_z
_atom_site_occupancy
Pm1 0.000 0.000 0.000 1
Zr1 0.250 0.250 0.250 1
Ag1 0.124 0.124 0.624 1
# Spin magnetization   1.1 μB/f.u.
# DFT total energy   -4.077 eV per atom
# Volume   510.8 Å³ per cell
# DFT formation energy   0.04 eV/atom